Computed, not measured: an optimized crystal structure of K2Cu2SnCl6 at the PBE level of DFT.

The space group is C2/m (No. 12) and the conventional cell measures 12.6526, 7.5223 and 7.6740 Å, with angles of 90.00, 120.00 and 90.00 degrees. The inequivalent atoms are K at (0.2281, 0.0000, 0.1947), Cu at (0.0420, 0.5000, 0.2009), Sn at (0.0000, 0.0000, 0.5000), Cl at (0.0622, 0.2510, 0.8165) and Cl at (0.2473, 0.5000, 0.3757).

For the calculated volume, the calculation gives 28.8 A^3/atom. The final energy comes out at -3.450 eV/atom. Its uncorrected formation energy is -1134 meV/atom.

---

Computed, not measured: an optimized crystal structure of Er3Be2Ge4 at the PBE level of DFT.

The space group is C2/m (No. 12) and the conventional cell measures 10.7461, 3.9821 and 8.1706 Å, with angles of 90.00, 109.21 and 90.00 degrees. The inequivalent atoms are Er at (0.0000, 0.0000, 0.0000), Er at (0.1203, 0.5000, 0.6889), Be at (0.1927, 0.5000, 0.3574), Ge at (0.0990, 0.0000, 0.3927) and Ge at (0.2119, 0.5000, 0.0749).

For the calculated volume, the calculation gives 18.3 A^3/atom. The final energy comes out at -4.968 eV/atom. For the calculated formation energy, the calculation gives -0.567 eV per atom. Its polymorph energy (0 for the lowest one) is 0.064 eV/atom.

---

Computed, not measured: an optimized crystal structure of Ag2Sb at the PBE level of DFT.

The space group is Fm-3m (No. 225) and the conventional cell measures 6.5980, 6.5980 and 6.5980 Å, with angles of 90.00, 90.00 and 90.00 degrees. The inequivalent atoms are Ag at (0.2500, 0.2500, 0.2500) and Sb at (0.0000, 0.0000, 0.0000).

For the calculated volume, the calculation gives 23.9 A^3/atom. The final energy comes out at -3.167 eV/atom. Its uncorrected formation energy is 108 meV/atom. Its polymorph energy (0 for the lowest one) is 0.042 eV/atom.

---

Computed, not measured: an optimized crystal structure of NbIF2 at the PBE level of DFT.

The space group is I4_1/amd (No. 141, origin choice 2) and the conventional cell measures 4.7433, 4.7433 and 13.9883 Å, with angles of 90.00, 90.00 and 90.00 degrees. The inequivalent atoms are Nb at (0.0000, 0.2500, 0.3750), I at (0.0000, 0.2500, 0.8750) and F at (0.0000, 0.0000, 0.5000).

For the calculated volume, the calculation gives 19.7 A^3/atom. The final energy comes out at -5.239 eV/atom. Its uncorrected formation energy is -1398 meV/atom. Its polymorph energy (0 for the lowest one) is 0.000 eV/atom.

---

Computed, not measured: an optimized crystal structure of Sm3ErSn12 at the PBE level of DFT.

The space group is P4/mmm (No. 123) and the conventional cell measures 4.7575, 4.7575 and 18.7716 Å, with angles of 90.00, 90.00 and 90.00 degrees. The inequivalent atoms are Sm at (0.0000, 0.0000, 0.0000), Sm at (0.0000, 0.0000, 0.2509), Er at (0.0000, 0.0000, 0.5000), Sn at (0.0000, 0.5000, 0.1257), Sn at (0.0000, 0.5000, 0.3779), Sn at (0.5000, 0.5000, 0.0000), Sn at (0.5000, 0.5000, 0.2517) and Sn at (0.5000, 0.5000, 0.5000).

For the calculated volume, the calculation gives 26.6 A^3/atom. The final energy comes out at -4.631 eV/atom. For the calculated formation energy, the calculation gives -0.459 eV per atom.

---

Computed, not measured: an optimized crystal structure of Ca12Mn3H5 at the PBE level of DFT.

The space group is Ia-3d (No. 230) and the conventional cell measures 15.9929, 15.9929 and 15.9929 Å, with angles of 90.00, 90.00 and 90.00 degrees. The inequivalent atoms are Ca at (0.0370, 0.0540, 0.6525), Mn at (0.0000, 0.2500, 0.1250), H at (0.0000, 0.0000, 0.0000) and H at (0.0000, 0.2500, 0.3750).

For the calculated volume, the calculation gives 25.6 A^3/atom. The final energy comes out at -3.393 eV/atom.

---

Computed, not measured: an optimized crystal structure of KNa2Pb at the PBE level of DFT.

The space group is P2_1/c (No. 14) and the conventional cell measures 9.3357, 6.3732 and 11.2308 Å, with angles of 90.00, 122.43 and 90.00 degrees. The inequivalent atoms are K at (0.0586, 0.0978, 0.3403), Na at (0.3732, 0.1025, 0.7077), Na at (0.4084, 0.7467, 0.4377) and Pb at (0.2075, 0.5740, 0.5887).

For the calculated volume, the calculation gives 35.2 A^3/atom. The final energy comes out at -1.946 eV/atom. For the calculated formation energy, the calculation gives -0.086 eV per atom.

---

Computed, not measured: an optimized crystal structure of LiAcLa2 at the PBE level of DFT.

The space group is Fmmm (No. 69) and the conventional cell measures 7.6658, 7.6699 and 19.0381 Å, with angles of 90.00, 90.00 and 90.00 degrees. The inequivalent atoms are Li at (0.2500, 0.2500, 0.2500), Ac at (0.0000, 0.0000, 0.1371), La at (0.0000, 0.0000, 0.3632) and La at (0.2500, 0.2500, 0.0000).

For the calculated volume, the calculation gives 35.0 A^3/atom. The final energy comes out at -3.914 eV/atom. For the calculated formation energy, the calculation gives 0.055 eV per atom. Its polymorph energy (0 for the lowest one) is 0.000 eV/atom.